1.
## La5Pr4Pb4 (PBE-GGA)

Data for a relaxed La5Pr4Pb4 crystal.

Results
- crystal system = tetragonal
- total DFT energy (no corrections) (eV per atom) = -4.921
- density of states at the Fermi level (states/eV per cell) = 30.73
- ΔH_f (0 K) (eV per formula unit) = -5.388

a b c (Å): 13.469 13.469 4.938
angles (deg): 90.00 90.00 90.00
Space group I4/m (No. 87)
Inequivalent atoms, fractional coordinates:
La1 0.000 0.000 0.000
La2 0.110 0.796 0.500
Pr1 0.095 0.600 0.000
Pb1 0.089 0.231 0.000


2.
## La2PrPb3 (PBE-GGA)

Data for a relaxed La2PrPb3 crystal.

Results
- crystal system = orthorhombic
- total DFT energy (no corrections) (eV per atom) = -4.832
- energy above the most stable polymorph in this dataset (meV per atom) = 26
- density of states at the Fermi level (states/eV per cell) = 24.78
- ΔH_f (0 K) (eV per formula unit) = -3.230

a b c (Å): 6.021 18.088 7.008
angles (deg): 90.00 90.00 90.00
Space group Cmmm (No. 65)
Inequivalent atoms, fractional coordinates:
La1 0.000 0.000 0.000
La2 0.000 0.000 0.500
La3 0.000 0.334 0.000
Pr1 0.000 0.333 0.500
Pb1 0.000 0.167 0.256
Pb2 0.000 0.500 0.256


3.
## LaPr3Pb2 (PBE-GGA)

Data for a relaxed LaPr3Pb2 crystal.

Results
- crystal system = tetragonal
- total DFT energy (no corrections) (eV per atom) = -4.894
- energy above the most stable polymorph in this dataset (meV per atom) = 0
- density of states at the Fermi level (states/eV per cell) = 8.45
- ΔH_f (0 K) (eV per formula unit) = -2.681

a b c (Å): 4.734 4.734 9.066
angles (deg): 90.00 90.00 90.00
Space group P-4m2 (No. 115)
Inequivalent atoms, fractional coordinates:
La1 0.000 0.000 0.000
Pr1 0.000 0.500 0.351
Pr2 0.500 0.500 0.000
Pb1 0.000 0.500 0.716


4.
## LaPr2Pb2 (PBE-GGA)

Data for a relaxed LaPr2Pb2 crystal.

Results
- crystal system = monoclinic
- total DFT energy (no corrections) (eV per atom) = -4.725
- energy above the most stable polymorph in this dataset (meV per atom) = 0
- density of states at the Fermi level (states/eV per cell) = 7.43
- ΔH_f (0 K) (eV per formula unit) = -1.721

a b c (Å): 6.200 3.754 14.478
angles (deg): 90.00 90.06 90.00
Space group P2_1/m (No. 11)
Inequivalent atoms, fractional coordinates:
La1 0.249 0.250 0.223
Pr1 0.250 0.750 0.024
Pr2 0.251 0.250 0.596
Pb1 0.249 0.750 0.410
Pb2 0.251 0.250 0.829


5.
## La5Pr2Pb (PBE-GGA)

Data for a relaxed La5Pr2Pb crystal.

Results
- crystal system = triclinic
- total DFT energy (no corrections) (eV per atom) = -4.875
- density of states at the Fermi level (states/eV per cell) = 9.94
- ΔH_f (0 K) (eV per formula unit) = -1.094

a b c (Å): 7.121 7.124 7.132
angles (deg): 98.77 115.06 115.04
Space group P1 (No. 1)
Inequivalent atoms, fractional coordinates:
La1 0.000 0.000 0.000
La2 0.000 0.447 0.556
La3 0.444 0.444 0.000
La4 0.554 0.001 0.557
La5 0.999 0.537 0.092
Pr1 0.498 0.474 0.526
Pr2 0.503 0.973 0.032
Pb1 0.998 0.942 0.496


6.
## La6Pr3Pb (PBE-GGA)

Data for a relaxed La6Pr3Pb crystal.

Results
- crystal system = monoclinic
- total DFT energy (no corrections) (eV per atom) = -4.817
- density of states at the Fermi level (states/eV per cell) = 31.75
- ΔH_f (0 K) (eV per formula unit) = -0.563

a b c (Å): 12.403 3.704 16.038
angles (deg): 90.00 100.93 90.00
Space group P2_1/m (No. 11)
Inequivalent atoms, fractional coordinates:
La1 0.089 0.250 0.397
La2 0.116 0.750 0.966
La3 0.169 0.250 0.760
La4 0.326 0.250 0.119
La5 0.337 0.750 0.324
La6 0.386 0.250 0.527
Pr1 0.092 0.750 0.185
Pr2 0.384 0.750 0.930
Pr3 0.427 0.750 0.725
Pb1 0.176 0.750 0.581


7.
## La5PrPb3 (PBE-GGA)

Data for a relaxed La5PrPb3 crystal.

Results
- crystal system = hexagonal
- total DFT energy (no corrections) (eV per atom) = -4.976
- density of states at the Fermi level (states/eV per cell) = 21.30
- ΔH_f (0 K) (eV per formula unit) = -4.243

a b c (Å): 9.9506 9.9506 6.9543
angles (deg): 90.00 90.00 120.00
Space group P6_3/mcm (No. 193)
Inequivalent atoms, fractional coordinates:
La1 0.0000 0.3330 0.2500
La2 0.3333 0.6667 0.0000
Pr1 0.0000 0.0000 0.0000
Pb1 0.0000 0.3332 0.7500


8.
## La2Pr3Pb2 (PBE-GGA)

Data for a relaxed La2Pr3Pb2 crystal.

Results
- crystal system = monoclinic
- total DFT energy (no corrections) (eV per atom) = -4.722
- energy above the most stable polymorph in this dataset (meV per atom) = 112
- density of states at the Fermi level (states/eV per cell) = 18.98
- ΔH_f (0 K) (eV per formula unit) = -1.445

a b c (Å): 17.513 3.641 8.449
angles (deg): 90.00 116.46 90.00
Space group C2/m (No. 12)
Inequivalent atoms, fractional coordinates:
La1 0.118 0.000 0.472
Pr1 0.000 0.000 0.000
Pr2 0.212 0.000 0.143
Pb1 0.079 0.500 0.770